# 1
VASP calculation (PBE) on an optimized crystal structure of LiNbBr2.

Calculated values
- Electronic total energy: -31.97 eV per cell
- D(E_F): 1.0 states/eV/f.u.
- Magnetic moment: 1.000 μB/atom
- Symmetry: I-42d

The structure in CIF format:
```
data_LiNbBr2
_chemical_formula_sum 'Li2 Nb2 Br4'
_cell_length_a 6.2873
_cell_length_b 6.2873
_cell_length_c 7.1937
_cell_angle_alpha 64.09
_cell_angle_beta 64.09
_cell_angle_gamma 90.00
_space_group_name_H-M_alt 'P 1'
_space_group_IT_number 1
_space_group_name_Hall 'P 1'
loop_
_atom_site_label
_atom_site_type_symbol
_atom_site_fract_x
_atom_site_fract_y
_atom_site_fract_z
_atom_site_occupancy
Li1 Li 0.5000 0.5000 0.0000 1
Li2 Li 0.2500 0.7500 0.5000 1
Br1 Br 0.1577 0.6250 0.2500 1
Br2 Br 0.3750 0.4077 0.7500 1
Br3 Br 0.8750 0.8423 0.7500 1
Br4 Br 0.5923 0.1250 0.2500 1
Nb1 Nb 0.0000 0.0000 0.0000 1
Nb2 Nb 0.7500 0.2500 0.5000 1
```

# 2
VASP calculation (PBE) on an optimized crystal structure of Li2NbBr8.

Calculated values
- Electronic total energy: -37.11 eV per cell
- D(E_F): 1.4 states/eV/f.u.
- Magnetic moment: 0.045 μB/atom
- Symmetry: C2/m

The structure in CIF format:
```
data_Li2NbBr8
_chemical_formula_sum 'Li2 Nb1 Br8'
_cell_length_a 6.5673
_cell_length_b 10.3896
_cell_length_c 10.3896
_cell_angle_alpha 38.81
_cell_angle_beta 102.37
_cell_angle_gamma 102.37
_space_group_name_H-M_alt 'P 1'
_space_group_IT_number 1
_space_group_name_Hall 'P 1'
loop_
_atom_site_label
_atom_site_type_symbol
_atom_site_fract_x
_atom_site_fract_y
_atom_site_fract_z
_atom_site_occupancy
Br1 Br 0.2707 0.7929 0.3057 1
Br2 Br 0.7293 0.2071 0.6943 1
Br3 Br 0.4972 0.2543 0.2543 1
Br4 Br 0.7293 0.6943 0.2071 1
Br5 Br 0.2707 0.3057 0.7929 1
Br6 Br 0.5028 0.7457 0.7457 1
Br7 Br 0.8837 0.1164 0.1164 1
Br8 Br 0.1163 0.8836 0.8836 1
Nb1 Nb 0.0000 0.0000 0.0000 1
Li1 Li 0.5025 0.8693 0.8693 1
Li2 Li 0.4975 0.1307 0.1307 1
```